KCd3In3 after structural relaxation, computed with PBE-GGA.

Results
The value obtained for the magnetic moment is 0.00 Bohr magnetons per cell. The formation energy from the elements is 0.146 eV per atom. The space group is Pm-3n.

Lattice parameters (Å, degrees): 8.135 8.135 8.135 90.00 90.00 90.00
Element x y z (fractional)
K  0.500  0.500  0.500
K  0.000  0.000  0.000
Cd  0.250  0.000  0.500
Cd  0.000  0.500  0.250
Cd  0.500  0.750  0.000
Cd  0.750  0.000  0.500
Cd  0.000  0.500  0.750
Cd  0.500  0.250  0.000
In  0.000  0.250  0.500
In  0.000  0.750  0.500
In  0.500  0.000  0.750
In  0.750  0.500  0.000
In  0.500  0.000  0.250
In  0.250  0.500  0.000